[1]
# YZn2Tc

An optimized crystal structure of YZn2Tc (PBE, Alexandria).

a = 3.3742 Å, b = 3.3758 Å, c = 6.5424 Å
α = 90.00°, β = 90.00°, γ = 90.00°
Atoms (fractional coordinates):
Y  0.5000  0.5000  0.7233
Zn  0.0000  0.0000  0.0544
Zn  0.5000  0.5000  0.2694
Tc  0.0000  0.0000  0.4529

Summary:
The value obtained for the offset from the most stable computed form is 140 meV per atom. The formation energy comes out at 0.05 eV/atom. The space-group type is P4mm.

=====

[2]
# Ag5Br4Cl2

An optimized crystal structure of Ag5Br4Cl2 (PBE, Alexandria).

a = 4.3496 Å, b = 4.3496 Å, c = 19.9943 Å
α = 90.24°, β = 90.24°, γ = 54.91°
Atoms (fractional coordinates):
Br  0.4151  0.4151  0.7241
Br  0.5849  0.5849  0.2759
Cl  0.8557  0.8557  0.4289
Ag  0.6077  0.6077  0.1399
Cl  0.1443  0.1443  0.5711
Ag  0.3923  0.3923  0.8601
Ag  0.5000  0.5000  0.5000
Ag  0.2600  0.2600  0.3399
Br  0.7115  0.7115  0.9103
Br  0.2885  0.2885  0.0897
Ag  0.7400  0.7400  0.6601

Summary:
The calculation puts the total energy at -0.189 Ry per atom. The space-group type is C2/m.

=====

[3]
# SrLi3Tl

An optimized crystal structure of SrLi3Tl (PBE, Alexandria).

a = 4.6695 Å, b = 4.6695 Å, c = 13.1603 Å
α = 100.22°, β = 100.22°, γ = 90.00°
Atoms (fractional coordinates):
Li  0.1279  0.8816  0.2558
Li  0.4191  0.4191  0.8383
Li  0.5809  0.5809  0.1617
Li  0.1184  0.8721  0.7442
Sr  0.2500  0.7500  0.5000
Li  0.6258  0.8721  0.7442
Li  0.1279  0.3742  0.2558
Sr  0.0000  0.0000  0.0000
Tl  0.6758  0.1758  0.3516
Tl  0.8242  0.3242  0.6484

Summary:
The value obtained for the offset from the most stable computed form is 172 meV per atom. The formation energy comes out at 0.02 eV/atom. The space-group type is I-4m2.

=====

Respective magnetization values: 0.00, 0.00, 0.00 μB per cell.